1.
VASP calculation (PBE) on a relaxed structure of HoUGe2.

Results
Total moment ... 0.53 μB per atom
Formation enthalpy at 0 K ... -0.332 eV per atom
Excess energy over the best structure of this formula in the dataset ... 30.4 meV per atom
Final energy ... -6.61 eV/atom
DOS(E_F) ... 2.112 states/eV per atom

Cell lengths 4.6109, 4.6109, 15.1813 Å; angles 90.00, 90.00, 120.00 degrees
Space group R-3m (No. 166, hexagonal axes)
One atom of each set of equivalent atoms:
Ho 0.0000 0.0000 0.0000 [3 per cell]
U 0.0000 0.0000 0.5000 [3 per cell]
Ge 0.0000 0.0000 0.2484 [6 per cell]

---

2.
VASP calculation (PBE) on a relaxed structure of YMn2Mo.

Results
Total moment ... 0.20 μB per atom
Formation enthalpy at 0 K ... 0.376 eV per atom
Excess energy over the best structure of this formula in the dataset ... 171.6 meV per atom
Final energy ... -8.53 eV/atom
DOS(E_F) ... 1.000 states/eV per atom

Cell lengths 6.2977, 6.2977, 6.2977 Å; angles 90.00, 90.00, 90.00 degrees
Space group Fm-3m (No. 225)
One atom of each set of equivalent atoms:
Y 0.0000 0.0000 0.0000 [4 per cell]
Mn 0.2500 0.2500 0.2500 [8 per cell]
Mo 0.0000 0.0000 0.5000 [4 per cell]

---

3.
VASP calculation (PBE) on a relaxed structure of HgRu2.

Results
Total moment ... 0.00 μB per atom
Formation enthalpy at 0 K ... 0.603 eV per atom
Excess energy over the best structure of this formula in the dataset ... 291.8 meV per atom
Final energy ... -5.68 eV/atom
DOS(E_F) ... 1.652 states/eV per atom

Cell lengths 5.6755, 3.9900, 8.6025 Å; angles 90.00, 90.00, 90.00 degrees
Space group Pnma (No. 62)
One atom of each set of equivalent atoms:
Hg 0.1175 0.2500 0.0894 [4 per cell]
Ru 0.1049 0.2500 0.4207 [4 per cell]
Ru 0.1090 0.2500 0.7292 [4 per cell]